VASP calculation (PBE) on an optimized crystal structure of Ni2PtPb.

Results
**E_form**: 0.38 eV per atom
**Space-group type**: R-3m

Cell: 8.381 8.381 8.381 Å, 20.84 20.84 20.84°
Each line ends with the local moment (μB).
Fractional positions:
Ni 0.005 0.005 0.005  0.44
Pb 0.250 0.250 0.250  0.01
Pt 0.750 0.750 0.750  0.20
Ni 0.495 0.495 0.495  0.44